Entry 1:
DFT (PBE) results for a relaxed structure of CaPm2ErTl4.

Cell and atoms, written as extended XYZ:
```
8
Lattice="2.722 1.571 8.921 -2.722 1.571 8.921 0.000 -3.143 8.921" Properties=species:S:1:pos:R:3 pbc="T T T"
Ca 0.000 0.000 0.000
Pm 0.000 0.000 6.781
Pm 0.000 0.000 19.982
Er 0.000 0.000 13.382
Tl 0.000 0.000 3.414
Tl 0.000 0.000 10.118
Tl 0.000 0.000 16.645
Tl 0.000 0.000 23.350
```

Its density of states at the Fermi level is 5.09 states/eV per cell. The total energy comes out at -3.56 eV per atom. The calculation puts the total magnetic moment at 0.0 Bohr magnetons per cell.

***

Entry 2:
DFT (PBE) results for a relaxed structure of CaLaPdPb.

Cell and atoms, written as extended XYZ:
```
4
Lattice="0.000 3.803 3.803 3.803 0.000 3.803 3.803 3.803 0.000" Properties=species:S:1:pos:R:3 pbc="T T T"
Ca 0.000 0.000 0.000
La 3.803 3.803 3.803
Pd 1.901 1.901 1.901
Pb 5.704 5.704 5.704
```

Its density of states at the Fermi level is 2.68 states/eV per cell. The total energy comes out at -4.56 eV per atom. The calculation puts the total magnetic moment at 0.0 Bohr magnetons per cell.

***

Entry 3:
DFT (PBE) results for a relaxed structure of Pm2Al2CdPd5.

Cell and atoms, written as extended XYZ:
```
20
Lattice="10.385 0.000 0.000 0.000 10.385 0.000 0.000 0.000 3.542" Properties=species:S:1:pos:R:3 pbc="T T T"
Pm 1.842 3.351 0.000
Pm 3.351 8.543 0.000
Pm 7.034 1.842 0.000
Pm 8.543 7.034 0.000
Al 1.261 6.454 0.000
Al 3.931 1.261 0.000
Al 6.454 9.124 0.000
Al 9.124 3.931 0.000
Cd 0.000 0.000 0.000
Cd 5.193 5.193 0.000
Pd 0.000 5.193 1.771
Pd 0.636 8.166 1.771
Pd 2.219 0.636 1.771
Pd 2.974 5.828 1.771
Pd 4.557 2.974 1.771
Pd 5.193 0.000 1.771
Pd 5.828 7.411 1.771
Pd 7.411 4.557 1.771
Pd 8.166 9.749 1.771
Pd 9.749 2.219 1.771
```

Its density of states at the Fermi level is 14.42 states/eV per cell. The total energy comes out at -5.08 eV per atom. The calculation puts the total magnetic moment at 0.0 Bohr magnetons per cell.

***

Entry 4:
DFT (PBE) results for a relaxed structure of NpCdAg4.

Cell and atoms, written as extended XYZ:
```
6
Lattice="0.000 3.965 3.965 3.965 0.000 3.965 3.965 3.965 0.000" Properties=species:S:1:pos:R:3 pbc="T T T"
Np 0.000 0.000 0.000
Cd 1.982 1.982 1.982
Ag 4.952 2.977 2.977
Ag 2.977 4.952 2.977
Ag 2.977 2.977 4.952
Ag 4.952 4.952 4.952
```

Its density of states at the Fermi level is 15.51 states/eV per cell. The total energy comes out at -4.05 eV per atom. The calculation puts the total magnetic moment at 3.9 Bohr magnetons per cell.

***

Entry 5:
DFT (PBE) results for a relaxed structure of Ir2Ru3W3.

Cell and atoms, written as extended XYZ:
```
8
Lattice="3.868 0.000 0.000 0.000 3.911 0.000 0.000 0.000 7.842" Properties=species:S:1:pos:R:3 pbc="T T T"
Ir 0.000 0.000 1.938
Ir 0.000 0.000 5.904
Ru 0.000 1.955 0.000
Ru 0.000 1.955 3.921
Ru 1.934 0.000 0.000
W 1.934 0.000 3.921
W 1.934 1.955 1.915
W 1.934 1.955 5.926
```

Its density of states at the Fermi level is 5.87 states/eV per cell. The total energy comes out at -10.70 eV per atom. The calculation puts the total magnetic moment at 0.0 Bohr magnetons per cell.

***

Entry 6:
DFT (PBE) results for a relaxed structure of ZnCr2Rh3.

Cell and atoms, written as extended XYZ:
```
6
Lattice="3.022 0.000 0.000 0.000 3.022 0.000 0.000 0.000 9.065" Properties=species:S:1:pos:R:3 pbc="T T T"
Zn 0.000 0.000 0.000
Cr 0.000 0.000 2.990
Cr 0.000 0.000 6.075
Rh 1.511 1.511 1.556
Rh 1.511 1.511 4.532
Rh 1.511 1.511 7.509
```

Its density of states at the Fermi level is 7.31 states/eV per cell. The total energy comes out at -7.23 eV per atom. The calculation puts the total magnetic moment at 5.4 Bohr magnetons per cell.

***

Entry 7:
DFT (PBE) results for a relaxed structure of Nd2Ni.

Cell and atoms, written as extended XYZ:
```
3
Lattice="-1.762 1.762 6.463 1.762 -1.762 6.463 1.762 1.762 -6.463" Properties=species:S:1:pos:R:3 pbc="T T T"
Nd 0.000 0.000 1.665
Nd 0.000 0.000 11.261
Ni 0.000 0.000 6.463
```

Its density of states at the Fermi level is 4.02 states/eV per cell. The total energy comes out at -5.23 eV per atom. The calculation puts the total magnetic moment at 0.0 Bohr magnetons per cell.

***

Entry 8:
DFT (PBE) results for a relaxed structure of PmDy2Tl.

Cell and atoms, written as extended XYZ:
```
4
Lattice="3.644 0.000 0.000 0.000 3.644 0.000 0.000 0.000 9.166" Properties=species:S:1:pos:R:3 pbc="T T T"
Pm 0.000 0.000 0.000
Dy 1.822 1.822 2.521
Dy 1.822 1.822 6.645
Tl 0.000 0.000 4.583
```

Its density of states at the Fermi level is 4.29 states/eV per cell. The total energy comes out at -4.25 eV per atom. The calculation puts the total magnetic moment at 0.0 Bohr magnetons per cell.

***

Entry 9:
DFT (PBE) results for a relaxed structure of GeIrOs2.

Cell and atoms, written as extended XYZ:
```
8
Lattice="-2.782 2.782 5.595 2.782 -2.782 5.595 2.782 2.782 -5.595" Properties=species:S:1:pos:R:3 pbc="T T T"
Ge 0.000 0.000 0.000
Ge 0.000 2.782 2.797
Ir 2.782 0.000 2.797
Ir 0.000 0.000 5.595
Os 1.391 -1.346 4.196
Os 1.437 1.391 1.399
Os 1.391 4.128 -1.399
Os 1.346 1.391 6.993
```

Its density of states at the Fermi level is 6.60 states/eV per cell. The total energy comes out at -7.95 eV per atom. The calculation puts the total magnetic moment at 0.0 Bohr magnetons per cell.

***

Entry 10:
DFT (PBE) results for a relaxed structure of NpPdSe.

Cell and atoms, written as extended XYZ:
```
3
Lattice="-1.848 1.848 4.491 1.848 -1.848 4.491 1.848 1.848 -4.491" Properties=species:S:1:pos:R:3 pbc="T T T"
Np 0.000 0.000 0.000
Pd 0.000 0.000 3.021
Se 0.000 0.000 5.916
```

The formation energy from raw total energies is -1.571 eV/f.u. Its density of states at the Fermi level is 9.06 states/eV per cell. The total energy comes out at -7.73 eV per atom. The calculation puts the total magnetic moment at 3.6 Bohr magnetons per cell.

***

Entry 11:
DFT (PBE) results for a relaxed structure of RbRhSe2.

Cell and atoms, written as extended XYZ:
```
8
Lattice="3.892 -5.827 0.000 3.892 5.827 0.000 -1.977 0.000 5.184" Properties=species:S:1:pos:R:3 pbc="T T T"
Rb 2.409 4.300 3.888
Rb 3.397 -4.300 1.296
Rh 2.409 0.024 3.888
Rh 3.397 -0.024 1.296
Se 0.588 1.400 4.715
Se 1.577 -1.400 2.123
Se 4.229 1.400 3.061
Se 5.218 -1.400 0.469
```

The formation energy from raw total energies is -2.479 eV/f.u. Its density of states at the Fermi level is 0.25 states/eV per cell. The total energy comes out at -4.44 eV per atom. The calculation puts the total magnetic moment at 0.0 Bohr magnetons per cell.

***

Entry 12:
DFT (PBE) results for a relaxed structure of Zr4InCu.

Cell and atoms, written as extended XYZ:
```
6
Lattice="0.000 4.050 4.050 4.050 0.000 4.050 4.050 4.050 0.000" Properties=species:S:1:pos:R:3 pbc="T T T"
Zr 1.014 1.014 1.014
Zr 3.036 3.036 1.014
Zr 3.036 1.014 3.036
Zr 1.014 3.036 3.036
In 4.050 4.050 4.050
Cu 6.075 6.075 6.075
```

Its density of states at the Fermi level is 5.55 states/eV per cell. The total energy comes out at -6.49 eV per atom. The calculation puts the total magnetic moment at 0.0 Bohr magnetons per cell.